10
Lattice="6.778 0.000 0.000 -3.389 5.871 0.238 0.000 -2.322 8.953" Properties=species:S:1:pos:R:3 comment="KRb2P2 (PBE, optimized geometry)" mass_density_g_cm3=2.5 e_above_lowest_polymorph_mev_per_atom=0 ef_mev_per_atom=-261.6 sg="C2/c, No. 15" crystal_system=monoclinic pbc="T T T"
K 6.129 -0.580 2.238
K 0.648 -1.741 6.715
Rb 2.380 1.434 1.359
Rb -1.009 3.276 3.356
Rb 1.009 2.115 7.832
Rb 4.397 0.274 5.835
P 2.192 2.743 4.589
P 5.580 1.968 0.125
P 1.197 0.807 4.602
P -2.192 1.582 9.066

=====

15
Lattice="10.291 -0.048 3.347 2.417 10.003 3.347 -0.061 -0.048 10.821" Properties=species:S:1:pos:R:3 comment="K8Rb6P (PBE, optimized geometry)" mass_density_g_cm3=1.3 ef_mev_per_atom=-38.3 sg="R-3, No. 148" crystal_system=trigonal pbc="T T T"
K 2.601 6.982 13.161
K 2.483 9.053 6.349
K 3.074 0.244 10.905
K 9.501 7.443 13.159
K 3.146 2.464 4.357
K 9.573 9.663 6.610
K 10.163 0.855 11.167
K 10.045 2.926 4.355
Rb 2.864 4.615 8.763
Rb 5.955 8.232 9.854
Rb 6.390 3.811 12.040
Rb 6.256 6.096 5.476
Rb 6.692 1.676 7.662
Rb 9.783 5.292 8.753
P 0.000 0.000 0.000

=====

16
Lattice="-7.404 -0.157 2.964 3.434 -5.341 8.295 -0.679 11.848 -1.067" Properties=species:S:1:pos:R:3 comment="K2RbP (PBE, optimized geometry)" mass_density_g_cm3=1.6 ef_mev_per_atom=-144.7 sg="P2_1/c, No. 14" crystal_system=monoclinic pbc="T T T"
K -5.474 1.019 3.516
K -1.606 7.986 2.814
K 0.825 5.330 6.675
K -3.043 -1.636 7.377
K -3.018 5.746 6.540
K 1.691 -2.033 7.156
K -1.632 0.603 3.651
K -6.340 8.383 3.035
Rb -3.540 4.429 2.383
Rb 0.698 4.666 2.249
Rb -1.110 1.921 7.808
Rb -5.348 1.683 7.942
P -3.334 2.776 5.381
P -1.281 6.281 -0.039
P -1.316 3.574 4.810
P -3.369 0.068 10.230

=====

11
Lattice="6.965 0.000 0.000 3.483 6.032 0.000 3.483 2.011 9.172" Properties=species:S:1:pos:R:3 comment="K2RbP2S6 (PBE, optimized geometry)" mass_density_g_cm3=1.8 e_form_raw_mev_per_atom=-680.3 sg="R-3m, No. 166" crystal_system=trigonal pbc="T T T"
K 10.448 6.032 5.742
K 3.483 2.011 3.430
Rb 0.000 0.000 0.000
P 6.965 4.021 6.689
P 6.965 4.021 2.484
S 8.676 5.009 2.729
S 5.255 5.009 2.729
S 6.965 2.046 2.729
S 6.965 5.997 6.443
S 8.676 3.034 6.443
S 5.255 3.034 6.443

=====

11
Lattice="7.052 0.000 0.000 -3.526 6.222 -0.054 0.000 -3.617 8.316" Properties=species:S:1:pos:R:3 comment="KRb2P2S6 (PBE, optimized geometry)" mass_density_g_cm3=2.1 e_form_raw_mev_per_atom=-694.3 sg="C2/m, No. 12" crystal_system=monoclinic pbc="T T T"
K 3.526 -1.809 4.158
Rb 3.526 1.710 1.671
Rb 0.000 0.895 6.591
P 3.526 3.240 5.984
P 0.000 -0.635 2.278
S 3.526 1.361 5.339
S -1.822 4.813 1.530
S 1.704 -2.208 6.732
S 5.348 -2.208 6.732
S 1.822 4.813 1.530
S 0.000 1.243 2.923

=====

16
Lattice="8.582 0.139 0.311 0.133 8.582 0.311 -3.977 -3.980 6.979" Properties=species:S:1:pos:R:3 comment="KRb2PS4 (PBE, optimized geometry)" mass_density_g_cm3=2.3 e_form_raw_mev_per_atom=-502.7 sg="C2/c, No. 15" crystal_system=monoclinic pbc="T T T"
K 0.067 4.291 0.155
K 6.660 2.441 3.956
Rb 4.291 0.070 0.155
Rb 2.303 -1.920 3.645
Rb -1.988 -1.990 3.490
Rb 4.358 4.361 0.311
P 2.369 2.371 3.800
P 4.605 -3.840 7.290
S -2.334 3.076 7.105
S 3.897 0.862 3.986
S 0.841 3.880 3.615
S 7.072 1.666 0.496
S 7.233 7.182 1.017
S 3.907 3.855 3.405
S 0.831 0.887 4.196
S -2.494 -2.441 6.584

=====

12
Lattice="-2.096 -6.830 -2.026 5.083 3.660 -3.990 6.647 -3.578 5.186" Properties=species:S:1:pos:R:3 comment="KRb3P2S6 (PBE, optimized geometry)" mass_density_g_cm3=2.1 e_form_raw_mev_per_atom=-779.1 sg="P-3m1, No. 164" crystal_system=trigonal pbc="T T T"
K 3.324 -1.789 2.593
Rb 7.037 -2.177 0.057
Rb 2.597 -4.571 -0.886
Rb 0.000 0.000 0.000
P 5.479 -6.123 1.363
P 4.154 -0.625 -2.192
S 4.670 -2.356 -3.124
S 3.301 -0.904 -0.369
S 5.630 0.773 -2.196
S 6.332 -5.844 -0.461
S 4.964 -4.392 2.295
S 4.004 -7.521 1.367

=====

12
Lattice="-1.755 -5.306 -4.983 5.403 -5.072 -1.075 -3.739 -3.932 7.084" Properties=species:S:1:pos:R:3 comment="KRbPSe3 (PBE, optimized geometry)" mass_density_g_cm3=2.9 e_form_raw_mev_per_atom=-755.3 sg="C2/m, No. 12" crystal_system=monoclinic pbc="T T T"
K 1.928 -7.090 1.590
K -2.019 -7.220 -0.565
Rb -0.996 -10.421 2.450
Rb 0.905 -3.889 -1.425
P 0.328 -13.576 0.214
P -0.419 -0.734 0.811
Se -2.406 -4.426 4.673
Se 0.367 -7.090 4.455
Se -3.585 -7.219 2.298
Se 3.494 -7.091 -1.273
Se -0.458 -7.220 -3.430
Se 2.316 -9.884 -3.648

=====

12
Lattice="-2.868 2.531 6.437 -5.707 -0.579 -2.316 3.791 -11.073 1.687" Properties=species:S:1:pos:R:3 comment="KRb2SiP2 (PBE, optimized geometry)" mass_density_g_cm3=2.0 e_form_raw_mev_per_atom=-309.0 sg="Ibam, No. 72" crystal_system=orthorhombic pbc="T T T"
K -4.280 -0.434 -1.737
K -1.427 -0.145 -0.579
Rb -1.010 -2.342 3.075
Rb -3.774 -6.779 2.734
Rb 0.232 -7.507 1.304
Rb -5.016 -1.614 4.504
Si -5.714 0.831 1.482
Si -2.861 1.121 2.639
P -1.951 0.551 4.671
P -3.881 -0.553 1.440
P -0.904 -8.568 4.368
P -2.833 -9.672 1.137

=====

9
Lattice="-7.215 -0.164 0.941 -4.303 -8.028 4.211 -3.811 -0.702 9.256" Properties=species:S:1:pos:R:3 comment="K4Rb2SiP2 (PBE, optimized geometry)" mass_density_g_cm3=1.4 e_form_raw_mev_per_atom=-46.3 sg="C2/m, No. 12" crystal_system=monoclinic pbc="T T T"
K -5.509 -5.478 4.242
K -10.086 -7.374 7.441
K -9.820 -3.416 10.167
K -5.243 -1.520 6.968
Rb -6.125 -6.137 9.508
Rb -9.204 -2.757 4.901
Si -3.608 -0.082 0.471
P -1.702 -0.630 1.081
P -13.627 -8.264 13.328

=====

5
Lattice="-1.122 5.579 -3.285 2.751 -2.607 -5.368 -4.789 -1.873 -1.545" Properties=species:S:1:pos:R:3 comment="K2RbTlP (PBE, optimized geometry)" mass_density_g_cm3=2.9 ef_mev_per_atom=-17.7 sg="P4/mmm, No. 123" crystal_system=tetragonal pbc="T T T"
P 0.000 0.000 0.000
Tl -2.394 -0.936 -0.772
K 1.375 -1.303 -2.684
K -0.561 2.790 -1.642
Rb -1.580 0.550 -5.099

=====

12
Lattice="-1.545 7.662 0.145 -5.537 -1.186 3.672 7.431 -2.569 4.173" Properties=species:S:1:pos:R:3 comment="KRb2ZnP2 (PBE, optimized geometry)" mass_density_g_cm3=2.9 ef_mev_per_atom=-215.3 sg="Ibam, No. 72" crystal_system=orthorhombic pbc="T T T"
K -4.152 -0.890 2.754
K -1.384 -0.297 0.918
Rb 0.925 2.479 2.195
Rb -0.576 1.428 5.795
Rb 2.833 -1.156 3.899
Rb -2.484 5.064 4.091
Zn -4.925 2.941 2.826
Zn -2.157 3.535 0.990
P -0.402 5.310 1.109
P -2.619 1.981 2.893
P 2.968 1.926 5.097
P 0.751 -1.403 6.881

=====

| no. | E_tot (eV per atom) | M_tot (μB per cell) |
| --- | --- | --- |
| 1 | -3.03 | 2.1 |
| 2 | -1.37 | 0.0 |
| 3 | -2.29 | 0.3 |
| 4 | -4.20 | 0.9 |
| 5 | -4.20 | 1.0 |
| 6 | -3.62 | 0.0 |
| 7 | -4.08 | 2.0 |
| 8 | -3.74 | 0.0 |
| 9 | -3.52 | 0.0 |
| 10 | -2.55 | 0.0 |
| 11 | -2.21 | 0.0 |
| 12 | -2.74 | 0.0 |